[1]
Material: Nd3Sn13Ir4
Method: DFT, PBEsol
State: relaxed

The calculation puts the magnetization at 0.000 μB/f.u. The value obtained for the formation energy is -0.5520 eV per atom. The value obtained for the raw total energy is -6.060 eV/atom. The value obtained for the density of states at the Fermi level is 0.36 states/eV/atom.

The space group is Pm-3n (No. 223) and the conventional cell measures 9.673, 9.673 and 9.673 Å, with angles of 90.00, 90.00 and 90.00 degrees. Symmetry generates all atoms from Nd at (0.000, 0.250, 0.500), Sn at (0.000, 0.000, 0.000), Sn at (0.000, 0.307, 0.152) and Ir at (0.250, 0.250, 0.250).

***

[2]
Material: NiIr3
Method: DFT, PBEsol
State: relaxed

The calculation puts the magnetization at 0.005 μB/f.u. The value obtained for the formation energy is 0.0124 eV per atom. The value obtained for the raw total energy is -8.895 eV/atom. The value obtained for the density of states at the Fermi level is 1.20 states/eV/atom.

The space group is C2/m (No. 12) and the conventional cell measures 8.781, 2.690 and 4.573 Å, with angles of 90.00, 100.44 and 90.00 degrees. Symmetry generates all atoms from Ni at (0.000, 0.000, 0.000), Ir at (0.000, 0.500, 0.500) and Ir at (0.248, 0.500, 0.246).

***

[3]
Material: Ni2Ir
Method: DFT, PBEsol
State: relaxed

The calculation puts the magnetization at 0.015 μB/f.u. The value obtained for the formation energy is 0.0389 eV per atom. The value obtained for the raw total energy is -7.341 eV/atom. The value obtained for the density of states at the Fermi level is 1.82 states/eV/atom.

The space group is Pnma (No. 62) and the conventional cell measures 5.074, 3.633 and 7.597 Å, with angles of 90.00, 90.00 and 90.00 degrees. Symmetry generates all atoms from Ni at (0.118, 0.250, 0.249), Ni at (0.124, 0.250, 0.916) and Ir at (0.130, 0.250, 0.584).

***

[4]
Material: NiIr2
Method: DFT, PBEsol
State: relaxed

The calculation puts the magnetization at 0.000 μB/f.u. The value obtained for the formation energy is -0.0121 eV per atom. The value obtained for the raw total energy is -8.614 eV/atom. The value obtained for the density of states at the Fermi level is 1.10 states/eV/atom.

The space group is Immm (No. 71) and the conventional cell measures 2.692, 3.680 and 7.824 Å, with angles of 90.00, 90.00 and 90.00 degrees. Symmetry generates all atoms from Ni at (0.000, 0.000, 0.000) and Ir at (0.000, 0.000, 0.335).

***

[5]
Material: NiIr4
Method: DFT, PBEsol
State: relaxed

The calculation puts the magnetization at 0.002 μB/f.u. The value obtained for the formation energy is 0.0112 eV per atom. The value obtained for the raw total energy is -9.079 eV/atom. The value obtained for the density of states at the Fermi level is 1.35 states/eV/atom.

The space group is I4/m (No. 87) and the conventional cell measures 5.969, 5.969 and 3.769 Å, with angles of 90.00, 90.00 and 90.00 degrees. Symmetry generates all atoms from Ni at (0.000, 0.000, 0.000) and Ir at (0.101, 0.701, 0.500).

***

[6]
Material: NiIr2
Method: DFT, PBEsol
State: relaxed

The calculation puts the magnetization at 0.004 μB/f.u. The value obtained for the formation energy is 0.0543 eV per atom. The value obtained for the raw total energy is -8.547 eV/atom. The value obtained for the density of states at the Fermi level is 1.49 states/eV/atom.

The space group is Pnma (No. 62) and the conventional cell measures 5.278, 3.741 and 7.885 Å, with angles of 90.00, 90.00 and 90.00 degrees. Symmetry generates all atoms from Ni at (0.129, 0.250, 0.088), Ir at (0.116, 0.250, 0.752) and Ir at (0.137, 0.250, 0.420).

***

[7]
Material: Ni8Ir
Method: DFT, PBEsol
State: relaxed

The calculation puts the magnetization at 5.655 μB/f.u. The value obtained for the formation energy is 0.0151 eV per atom. The value obtained for the raw total energy is -6.550 eV/atom. The value obtained for the density of states at the Fermi level is 1.44 states/eV/atom.

The space group is I4/mmm (No. 139) and the conventional cell measures 7.449, 7.449 and 3.520 Å, with angles of 90.00, 90.00 and 90.00 degrees. Symmetry generates all atoms from Ni at (0.000, 0.336, 0.000), Ni at (0.168, 0.168, 0.500) and Ir at (0.000, 0.000, 0.000).

***

[8]
Material: Ni2Ir
Method: DFT, PBEsol
State: relaxed

The calculation puts the magnetization at 0.377 μB/f.u. The value obtained for the formation energy is 0.0484 eV per atom. The value obtained for the raw total energy is -7.331 eV/atom. The value obtained for the density of states at the Fermi level is 1.83 states/eV/atom.

The space group is C2/m (No. 12) and the conventional cell measures 9.260, 2.626 and 6.005 Å, with angles of 90.00, 105.84 and 90.00 degrees. Symmetry generates all atoms from Ni at (0.141, 0.000, 0.032), Ni at (0.197, 0.000, 0.641) and Ir at (0.024, 0.500, 0.299).